A plane-wave DFT calculation with PBE was carried out for a relaxed Pr5ErTl3 crystal.

As for the density of states at the Fermi level: 11.6 states/eV/f.u. As for the total moment: 1.38 μB per formula unit. Its total DFT energy (no corrections) is -4.213 eV/atom. For the formation energy, the calculation gives -0.26 eV/atom.

extended XYZ file:
```
18
Lattice="9.667 0.000 0.000 -4.834 8.372 0.000 0.000 0.000 6.954" Properties=species:S:1:pos:R:3 pbc="T T T"
Pr -1.639 2.840 1.738
Pr -3.194 5.532 5.215
Pr 0.000 5.581 0.000
Pr 0.000 5.581 3.477
Pr 3.279 0.000 1.738
Pr 1.639 2.840 5.215
Pr 6.388 0.000 5.215
Pr 3.194 5.532 1.738
Pr 4.834 2.791 0.000
Pr 4.834 2.791 3.477
Er 0.000 0.000 0.000
Er 0.000 0.000 3.477
Tl -1.561 2.703 5.215
Tl -3.273 5.669 1.738
Tl 3.121 0.000 5.215
Tl 1.561 2.703 1.738
Tl 6.546 0.000 1.738
Tl 3.273 5.669 5.215
```